Entry from the Alexandria database: a relaxed structure of ReSiMo2 (GGA-PBE).

Cell lengths 2.8700, 2.8700, 7.1322 Å; angles 90.00, 90.00, 90.00 degrees
Closest atoms and distances in Å follow each position.
Fractional coordinates of all 4 atoms:
Mo  0.0000  0.0000  0.5135  4 Si 2.64, 4 Re 2.77, 4 Mo 2.87
Re  0.5000  0.5000  0.2500  8 Mo 2.77, 4 Re 2.87
Si  0.5000  0.5000  0.7500  8 Mo 2.64, 4 Si 2.87
Mo  0.0000  0.0000  0.9865  4 Si 2.64, 4 Re 2.77, 4 Mo 2.87

## Properties
As for the crystal system: tetragonal. Its space-group type is P4/mmm, No. 123. As for the formation energy (no corrections): -0.043 eV per atom.

Entry from the Alexandria database: a relaxed structure of ReSi2Mo (GGA-PBE).

Cell lengths 8.2089, 8.2089, 8.2089 Å; angles 20.28, 20.28, 20.28 degrees
Closest atoms and distances in Å follow each position.
Fractional coordinates of all 4 atoms:
Mo  0.5019  0.5019  0.5019  3 Si 2.62, 3 Re 2.72, 6 Mo 2.89
Si  0.9996  0.9996  0.9996  3 Re 2.55, 3 Si 2.57
Si  0.2521  0.2521  0.2521  3 Si 2.57, 3 Mo 2.62
Re  0.7464  0.7464  0.7464  3 Si 2.55, 3 Mo 2.72

## Properties
As for the crystal system: trigonal. Its space-group type is R3m, No. 160. As for the formation energy (no corrections): -0.024 eV per atom.

Entry from the Alexandria database: a relaxed structure of ReSi2Mo (GGA-PBE).

Cell lengths 6.5063, 6.5063, 5.4722 Å; angles 53.52, 53.52, 90.00 degrees
Closest atoms and distances in Å follow each position.
Fractional coordinates of all 8 atoms:
Re  0.7500  0.2500  0.5000  4 Si 2.37
Si  0.3750  0.3651  0.7500  2 Re 2.37, 2 Mo 2.46
Mo  0.5000  0.5000  0.0000  4 Si 2.46
Mo  0.2500  0.7500  0.5000  4 Si 2.46
Si  0.1151  0.6250  0.2500  2 Re 2.37, 2 Mo 2.46
Re  0.0000  0.0000  0.0000  4 Si 2.37
Si  0.6349  0.1250  0.2500  2 Re 2.37, 2 Mo 2.46
Si  0.8750  0.8849  0.7500  2 Re 2.37, 2 Mo 2.46

## Properties
As for the crystal system: tetragonal. Its space-group type is I-42d, No. 122. As for the formation energy (no corrections): 0.534 eV per atom.

Entry from the Alexandria database: a relaxed structure of ReSi2Mo (GGA-PBE).

Cell lengths 4.3495, 4.3495, 4.3495 Å; angles 60.00, 60.00, 60.00 degrees
Closest atoms and distances in Å follow each position.
Fractional coordinates of all 4 atoms:
Re  0.2500  0.2500  0.2500  4 Mo 2.66, 4 Si 2.66
Mo  0.5000  0.5000  0.5000  4 Si 2.66, 4 Re 2.66
Si  0.7500  0.7500  0.7500  4 Mo 2.66, 4 Si 2.66
Si  0.0000  0.0000  0.0000  4 Re 2.66, 4 Si 2.66

## Properties
As for the crystal system: cubic. Its space-group type is F-43m, No. 216. As for the formation energy (no corrections): 0.159 eV per atom.

Entry from the Alexandria database: a relaxed structure of Re2SiMo (GGA-PBE).

Cell lengths 4.0250, 2.8497, 5.8490 Å; angles 61.08, 90.00, 90.00 degrees
Closest atoms and distances in Å follow each position.
Fractional coordinates of all 4 atoms:
Si  0.0000  0.4983  0.5006  6 Re 2.53-2.78, 4 Mo 2.75
Mo  0.5000  0.7608  0.7379  2 Re 2.47-2.65, 4 Si 2.75
Re  0.0000  0.9935  0.0068  2 Si 2.53-2.59, 4 Re 2.77, 4 Mo 2.82
Re  0.5000  0.2475  0.2548  2 Mo 2.47-2.65, 2 Si 2.76

## Properties
As for the crystal system: monoclinic. Its space-group type is Pm, No. 6. As for the formation energy (no corrections): -0.027 eV per atom.

Entry from the Alexandria database: a relaxed structure of ReSi2Mo (GGA-PBE).

Cell lengths 2.7249, 2.7249, 8.3144 Å; angles 90.00, 90.00, 108.99 degrees
Closest atoms and distances in Å follow each position.
Fractional coordinates of all 4 atoms:
Si  0.5000  0.5000  0.2500  2 Mo 2.56, 6 Si 2.62-2.72
Si  0.0000  0.0000  0.9995  2 Re 2.56, 6 Si 2.62-2.72
Mo  0.0000  0.0000  0.4926  2 Si 2.56, 2 Re 2.71, 4 Mo 2.72
Re  0.5000  0.5000  0.7579  2 Si 2.56, 2 Mo 2.71, 4 Re 2.72

## Properties
As for the crystal system: orthorhombic. Its space-group type is Cmm2, No. 35. As for the formation energy (no corrections): 0.217 eV per atom.

Entry from the Alexandria database: a relaxed structure of ReSi2Mo (GGA-PBE).

Cell lengths 8.3293, 8.3293, 8.3293 Å; angles 19.61, 19.61, 19.61 degrees
Closest atoms and distances in Å follow each position.
Fractional coordinates of all 4 atoms:
Mo  0.2500  0.2500  0.2500  6 Si 2.65, 6 Mo 2.84
Re  0.7500  0.7500  0.7500  6 Si 2.58, 6 Re 2.84
Si  0.4981  0.4981  0.4981  3 Re 2.58, 3 Mo 2.65, 6 Si 2.84
Si  0.0019  0.0019  0.0019  3 Re 2.58, 3 Mo 2.65, 6 Si 2.84

## Properties
As for the crystal system: trigonal. Its space-group type is R-3m, No. 166. As for the formation energy (no corrections): -0.004 eV per atom.

Entry from the Alexandria database: a relaxed structure of ReSiMo2 (GGA-PBE).

Cell lengths 3.1501, 3.1501, 5.9404 Å; angles 90.00, 90.00, 90.00 degrees
Closest atoms and distances in Å follow each position.
Fractional coordinates of all 4 atoms:
Si  0.5000  0.5000  0.7447  4 Re 2.59, 4 Mo 2.68
Re  0.0000  0.0000  0.5222  4 Si 2.59, 5 Mo 2.80-2.81
Mo  0.5000  0.5000  0.2377  4 Mo 2.65, 4 Re 2.80, 1 Si 2.93
Mo  0.0000  0.0000  0.9955  4 Mo 2.65, 4 Si 2.68, 1 Re 2.81

## Properties
As for the crystal system: tetragonal. Its space-group type is P4mm, No. 99. As for the formation energy (no corrections): -0.049 eV per atom.

Entry from the Alexandria database: a relaxed structure of ReSiMo2 (GGA-PBE).

Cell lengths 2.8527, 4.0957, 5.1367 Å; angles 90.00, 90.00, 90.00 degrees
Closest atoms and distances in Å follow each position.
Fractional coordinates of all 4 atoms:
Mo  0.0000  0.0000  0.9835  2 Re 2.44-2.69
Si  0.5000  0.5000  0.7515  6 Mo 2.54-2.77, 4 Re 2.79
Mo  0.5000  0.5000  0.2571  2 Si 2.54-2.60, 4 Re 2.81
Re  0.0000  0.0000  0.5079  2 Mo 2.44-2.69

## Properties
As for the crystal system: orthorhombic. Its space-group type is Pmm2, No. 25. As for the formation energy (no corrections): 0.010 eV per atom.

Entry from the Alexandria database: a relaxed structure of Re2Si4Mo (GGA-PBE).

Cell lengths 4.5372, 4.5372, 6.9183 Å; angles 70.86, 70.86, 90.00 degrees
Closest atoms and distances in Å follow each position.
Fractional coordinates of all 7 atoms:
Si  0.2044  0.2044  0.5911  1 Re 2.35, 1 Mo 2.51
Si  0.5000  0.0000  0.0000  2 Mo 2.27
Mo  0.0000  0.0000  0.0000  6 Si 2.27-2.51
Si  0.0000  0.5000  0.0000  2 Mo 2.27
Re  0.6038  0.6038  0.7925  5 Si 2.35-2.60, 1 Re 2.54
Si  0.7956  0.7956  0.4089  1 Re 2.35, 1 Mo 2.51
Re  0.3962  0.3962  0.2075  5 Si 2.35-2.60, 1 Re 2.54

## Properties
As for the crystal system: tetragonal. Its space-group type is I4/mmm, No. 139. As for the formation energy (no corrections): 0.838 eV per atom.

Entry from the Alexandria database: a relaxed structure of Re2SiMo (GGA-PBE).

Cell lengths 2.8212, 2.8212, 8.6583 Å; angles 80.62, 80.62, 60.00 degrees
Closest atoms and distances in Å follow each position.
Fractional coordinates of all 4 atoms:
Re  0.0787  0.0787  0.7638  3 Si 2.58, 3 Mo 2.77, 6 Re 2.82
Mo  0.4998  0.4998  0.5005  6 Re 2.77, 6 Mo 2.82
Re  0.2543  0.2543  0.2370  3 Si 2.60, 3 Mo 2.77, 6 Re 2.82
Si  0.6671  0.6671  0.9988  6 Re 2.58-2.60, 6 Si 2.82

## Properties
As for the crystal system: trigonal. Its space-group type is R3m, No. 160. As for the formation energy (no corrections): 0.074 eV per atom.

Entry from the Alexandria database: a relaxed structure of ReSiMo2 (GGA-PBE).

Cell lengths 3.1403, 4.2707, 4.3809 Å; angles 90.00, 90.00, 90.00 degrees
Closest atoms and distances in Å follow each position.
Fractional coordinates of all 4 atoms:
Mo  0.5000  0.5000  0.0000  4 Mo 2.65, 4 Si 2.70
Mo  0.0000  0.0000  0.0000  4 Mo 2.65, 4 Re 2.70
Re  0.5000  0.0000  0.5000  4 Si 2.65, 4 Mo 2.70
Si  0.0000  0.5000  0.5000  4 Re 2.65, 4 Mo 2.70

## Properties
As for the crystal system: orthorhombic. Its space-group type is Pmmm, No. 47. As for the formation energy (no corrections): -0.019 eV per atom.

Entry from the Alexandria database: a relaxed structure of Re2SiMo (GGA-PBE).

Cell lengths 2.8954, 2.8954, 6.8748 Å; angles 90.00, 90.00, 90.00 degrees
Closest atoms and distances in Å follow each position.
Fractional coordinates of all 4 atoms:
Mo  0.5000  0.5000  0.7311  4 Si 2.63, 4 Re 2.80, 4 Mo 2.90
Si  0.0000  0.0000  0.4915  4 Re 2.56, 4 Mo 2.63
Re  0.0000  0.0000  0.0090  8 Re 2.72-2.90, 4 Mo 2.80
Re  0.5000  0.5000  0.2684  4 Si 2.56, 4 Re 2.72

## Properties
As for the crystal system: tetragonal. Its space-group type is P4mm, No. 99. As for the formation energy (no corrections): -0.079 eV per atom.

Entry from the Alexandria database: a relaxed structure of Re2SiMo (GGA-PBE).

Cell lengths 3.7501, 3.7501, 9.5490 Å; angles 78.68, 78.68, 90.00 degrees
Closest atoms and distances in Å follow each position.
Fractional coordinates of all 8 atoms:
Si  0.2500  0.7500  0.5000  4 Re 2.60, 4 Mo 2.65
Re  0.5836  0.1250  0.2500  2 Re 2.44, 2 Si 2.60, 2 Mo 2.71
Mo  0.7500  0.2500  0.5000  4 Si 2.65, 4 Re 2.71
Si  0.5000  0.5000  0.0000  4 Re 2.60, 4 Mo 2.65
Re  0.1664  0.6250  0.2500  2 Re 2.44, 2 Si 2.60, 2 Mo 2.71
Re  0.8750  0.8336  0.7500  2 Re 2.44, 2 Si 2.60, 2 Mo 2.71
Re  0.3750  0.4164  0.7500  2 Re 2.44, 2 Si 2.60, 2 Mo 2.71
Mo  0.0000  0.0000  0.0000  4 Si 2.65, 4 Re 2.71

## Properties
As for the crystal system: tetragonal. Its space-group type is I-42d, No. 122. As for the formation energy (no corrections): 0.535 eV per atom.